(1)
{"formula": "SrGa3Au", "functional": "GGA-PBE", "state": "relaxed", "energy_ry_per_atom": -0.2315, "spacegroup": "P6_3/mmc (194)", "vol_a3_per_atom": 22.5, "magmom_total_mub_per_atom": 0.000, "formation_enthalpy_0k_mev_per_atom": -342, "cell": [[6.192, 0.000, 0.000], [0.000, 6.471, 0.000], [0.000, -3.236, 5.604]], "species": ["Sr", "Sr", "Ga", "Ga", "Ga", "Ga", "Ga", "Ga", "Au", "Au"], "fractional_positions": [[0.750, 0.667, 0.333], [0.250, 0.333, 0.667], [0.750, 0.609, 0.805], [0.250, 0.805, 0.609], [0.250, 0.391, 0.195], [0.750, 0.195, 0.391], [0.250, 0.805, 0.195], [0.750, 0.195, 0.805], [0.000, 0.000, 0.000], [0.500, 0.000, 0.000]]}

***

(2)
{"formula": "Rb2Tl12Hg7", "functional": "GGA-PBE", "state": "relaxed", "energy_ry_per_atom": -0.1170, "spacegroup": "P-3 (147)", "vol_a3_per_atom": 31.2, "magmom_total_mub_per_atom": 0.000, "formation_enthalpy_0k_mev_per_atom": -47, "cell": [[-0.762, -1.702, 2.908], [-10.985, -7.030, -6.994], [13.602, -5.829, 0.152]], "species": ["Rb", "Rb", "Tl", "Tl", "Tl", "Tl", "Tl", "Tl", "Tl", "Tl", "Tl", "Tl", "Tl", "Tl", "Hg", "Hg", "Hg", "Hg", "Hg", "Hg", "Hg"], "fractional_positions": [[0.250, 0.333, 0.667], [0.750, 0.667, 0.333], [0.254, 0.619, 0.077], [0.254, 0.458, 0.381], [0.254, 0.923, 0.542], [0.746, 0.381, 0.923], [0.746, 0.542, 0.619], [0.746, 0.077, 0.458], [0.248, 0.064, 0.240], [0.248, 0.176, 0.936], [0.248, 0.760, 0.824], [0.752, 0.936, 0.760], [0.752, 0.824, 0.064], [0.752, 0.240, 0.176], [0.500, 0.000, 0.000], [0.247, 0.862, 0.286], [0.247, 0.424, 0.138], [0.247, 0.714, 0.576], [0.753, 0.138, 0.714], [0.753, 0.576, 0.862], [0.753, 0.286, 0.424]]}

***

(3)
{"formula": "Hg3IF", "functional": "GGA-PBE", "state": "relaxed", "energy_ry_per_atom": -0.0773, "spacegroup": "Pm-3m (221)", "formation_energy_uncorrected_kj_per_mol_atoms": -18.04, "polymorph_energy_mev_per_atom": 0, "vol_a3_per_atom": 28.6, "magmom_total_mub_per_atom": 0.000, "cell": [[5.227, 0.000, 0.000], [0.000, 5.227, 0.000], [0.000, 0.000, 5.227]], "species": ["I", "Hg", "Hg", "Hg", "F"], "fractional_positions": [[0.500, 0.500, 0.500], [0.000, 0.500, 0.000], [0.000, 0.000, 0.500], [0.500, 0.000, 0.000], [0.000, 0.000, 0.000]]}

***

(4)
{"formula": "LiCePb", "functional": "GGA-PBE", "state": "relaxed", "energy_ry_per_atom": -0.3117, "spacegroup": "P6_3/mmc (194)", "polymorph_energy_mev_per_atom": 0, "vol_a3_per_atom": 25.8, "magmom_total_mub_per_atom": 0.327, "formation_enthalpy_0k_mev_per_atom": -388, "cell": [[4.894, 0.000, 0.000], [-2.446, 4.239, 0.000], [0.000, 0.000, 7.466]], "species": ["Li", "Li", "Ce", "Ce", "Pb", "Pb"], "fractional_positions": [[0.333, 0.167, 0.750], [0.667, 0.833, 0.250], [0.000, 0.500, 0.000], [0.000, 0.500, 0.500], [0.667, 0.833, 0.750], [0.333, 0.167, 0.250]]}

***

(5)
{"formula": "K2LiIr", "functional": "GGA-PBE", "state": "relaxed", "energy_ry_per_atom": -0.1865, "spacegroup": "Cmmm (65)", "polymorph_energy_mev_per_atom": 288, "vol_a3_per_atom": 27.5, "magmom_total_mub_per_atom": 0.066, "formation_enthalpy_0k_mev_per_atom": 705, "cell": [[-1.127, -2.332, -1.651], [0.880, -1.966, 2.189], [-10.325, 1.255, 5.275]], "species": ["Ir", "K", "K", "Li"], "fractional_positions": [[0.500, 0.500, 0.750], [0.000, 0.000, 0.955], [0.000, 0.000, 0.545], [0.500, 0.500, 0.250]]}

***

(6)
{"formula": "Pd8Pt2Au3", "functional": "GGA-PBE", "state": "relaxed", "energy_ry_per_atom": -0.3553, "spacegroup": "P2/m (10)", "vol_a3_per_atom": 16.7, "magmom_total_mub_per_atom": 0.000, "formation_enthalpy_0k_mev_per_atom": 48, "cell": [[4.007, 0.000, 0.000], [0.000, 5.827, -2.494], [0.000, 1.997, 8.446]], "species": ["Pd", "Pd", "Pd", "Pd", "Pd", "Pd", "Pd", "Pd", "Pt", "Pt", "Au", "Au", "Au"], "fractional_positions": [[0.000, 0.592, 0.367], [0.000, 0.408, 0.633], [0.000, 0.150, 0.232], [0.000, 0.850, 0.768], [0.500, 0.561, 0.849], [0.500, 0.124, 0.693], [0.500, 0.876, 0.307], [0.500, 0.439, 0.151], [0.500, 0.292, 0.430], [0.500, 0.708, 0.570], [0.500, 0.000, 0.000], [0.000, 0.280, 0.925], [0.000, 0.720, 0.075]]}

***

(7)
{"formula": "Zn2SiPd8", "functional": "GGA-PBE", "state": "relaxed", "energy_ry_per_atom": -0.3603, "spacegroup": "C2/m (12)", "formation_energy_uncorrected_kj_per_mol_atoms": -38.71, "polymorph_energy_mev_per_atom": 4, "vol_a3_per_atom": 15.2, "magmom_total_mub_per_atom": 0.000, "cell": [[-3.668, 1.900, 0.663], [-1.172, -3.646, 3.962], [5.441, 4.854, 2.991]], "species": ["Zn", "Zn", "Si", "Pd", "Pd", "Pd", "Pd", "Pd", "Pd", "Pd", "Pd"], "fractional_positions": [[0.817, 0.274, 0.634], [0.183, 0.726, 0.366], [0.500, 0.000, 0.000], [0.399, 0.564, 0.799], [0.650, 0.964, 0.300], [0.790, 0.706, 0.580], [0.982, 0.236, 0.963], [0.210, 0.294, 0.420], [0.350, 0.036, 0.700], [0.601, 0.436, 0.201], [0.018, 0.764, 0.037]]}

***

(8)
{"formula": "DyAl3Ga3", "functional": "GGA-PBE", "state": "relaxed", "energy_ry_per_atom": -0.2409, "spacegroup": "Pm-3n (223)", "polymorph_energy_mev_per_atom": 454, "vol_a3_per_atom": 24.2, "magmom_total_mub_per_atom": 0.000, "formation_enthalpy_0k_mev_per_atom": 281, "cell": [[6.972, 0.000, 0.000], [0.000, 6.972, 0.000], [0.000, 0.000, 6.972]], "species": ["Al", "Al", "Al", "Al", "Al", "Al", "Ga", "Ga", "Ga", "Ga", "Ga", "Ga", "Dy", "Dy"], "fractional_positions": [[0.250, 0.000, 0.500], [0.000, 0.500, 0.250], [0.500, 0.750, 0.000], [0.750, 0.000, 0.500], [0.000, 0.500, 0.750], [0.500, 0.250, 0.000], [0.000, 0.250, 0.500], [0.000, 0.750, 0.500], [0.500, 0.000, 0.750], [0.750, 0.500, 0.000], [0.500, 0.000, 0.250], [0.250, 0.500, 0.000], [0.500, 0.500, 0.500], [0.000, 0.000, 0.000]]}

***

(9)
{"formula": "Hf4NbPd3", "functional": "GGA-PBE", "state": "relaxed", "energy_ry_per_atom": -0.6367, "spacegroup": "P4/mmm (123)", "vol_a3_per_atom": 18.8, "magmom_total_mub_per_atom": 0.000, "formation_enthalpy_0k_mev_per_atom": -480, "cell": [[3.332, 0.000, 0.000], [0.000, 3.332, 0.000], [0.000, 0.000, 13.513]], "species": ["Nb", "Hf", "Hf", "Hf", "Hf", "Pd", "Pd", "Pd"], "fractional_positions": [[0.500, 0.500, 0.000], [0.000, 0.000, 0.872], [0.000, 0.000, 0.128], [0.000, 0.000, 0.378], [0.000, 0.000, 0.622], [0.500, 0.500, 0.255], [0.500, 0.500, 0.500], [0.500, 0.500, 0.745]]}

***

(10)
{"formula": "ZnHgB2Os", "functional": "GGA-PBE", "state": "relaxed", "energy_ry_per_atom": -0.2166, "spacegroup": "P4/mmm (123)", "vol_a3_per_atom": 18.0, "magmom_total_mub_per_atom": 0.214, "formation_enthalpy_0k_mev_per_atom": 2285, "cell": [[4.046, 0.000, 0.000], [0.000, 5.492, 0.000], [0.000, 0.000, 4.046]], "species": ["Zn", "B", "B", "Os", "Hg"], "fractional_positions": [[0.500, 0.500, 0.500], [0.000, 0.000, 0.500], [0.500, 0.000, 0.000], [0.000, 0.500, 0.000], [0.000, 0.000, 0.000]]}

***

(11)
{"formula": "Np2GaSi4Rh3", "functional": "GGA-PBE", "state": "relaxed", "energy_ry_per_atom": -0.5764, "spacegroup": "P-4m2 (115)", "formation_energy_uncorrected_kj_per_mol_atoms": -55.61, "vol_a3_per_atom": 17.0, "magmom_total_mub_per_atom": 0.716, "cell": [[-1.009, 3.218, -2.329], [-3.671, -1.674, -0.723], [-3.739, 4.697, 8.110]], "species": ["Np", "Np", "Ga", "Si", "Si", "Si", "Si", "Rh", "Rh", "Rh"], "fractional_positions": [[0.500, 0.000, 0.245], [0.000, 0.500, 0.755], [0.500, 0.500, 0.500], [0.500, 0.500, 0.000], [0.000, 0.000, 0.000], [0.500, 0.000, 0.644], [0.000, 0.500, 0.356], [0.000, 0.000, 0.500], [0.500, 0.000, 0.876], [0.000, 0.500, 0.124]]}

***

(12)
{"formula": "KRbHgSe", "functional": "GGA-PBE", "state": "relaxed", "energy_ry_per_atom": -0.1639, "spacegroup": "F-43m (216)", "formation_energy_uncorrected_kj_per_mol_atoms": -73.98, "vol_a3_per_atom": 34.6, "magmom_total_mub_per_atom": 0.000, "cell": [[5.807, 0.000, 0.000], [2.903, 5.029, 0.000], [2.903, 1.676, 4.741]], "species": ["K", "Se", "Hg", "Rb"], "fractional_positions": [[0.000, 0.000, 0.000], [0.250, 0.250, 0.250], [0.750, 0.750, 0.750], [0.500, 0.500, 0.500]]}